The following is a DFT calculation (PBE) of crystalline MgB6H12O16 at its relaxed geometry.

Lattice parameters (Å, degrees): 10.499 10.849 11.393 85.23 90.00 90.00
Sites, in units of the cell vectors:
O  0.765  0.120  0.725
O  0.608  0.160  0.500
O  0.070  0.788  0.719
O  0.586  0.975  0.326
O  0.265  0.880  0.775
O  0.036  0.803  0.202
O  0.930  0.212  0.281
O  0.037  0.926  0.368
O  0.462  0.634  0.576
O  0.848  0.512  0.383
O  0.463  0.926  0.868
O  0.464  0.803  0.702
O  0.536  0.197  0.298
O  0.875  0.390  0.604
O  0.263  0.717  0.643
O  0.134  0.107  0.910
O  0.861  0.493  0.091
O  0.157  0.319  0.823
O  0.962  0.366  0.924
O  0.735  0.120  0.225
O  0.663  0.846  0.803
O  0.086  0.025  0.174
O  0.235  0.880  0.275
O  0.152  0.060  0.519
O  0.163  0.154  0.697
O  0.634  0.893  0.590
O  0.914  0.975  0.826
O  0.348  0.060  0.019
O  0.737  0.283  0.357
O  0.848  0.940  0.481
O  0.361  0.507  0.409
O  0.964  0.197  0.798
O  0.538  0.366  0.424
O  0.652  0.940  0.981
O  0.125  0.610  0.396
O  0.108  0.840  0.000
O  0.074  0.342  0.426
O  0.343  0.319  0.323
O  0.926  0.658  0.574
O  0.625  0.390  0.104
O  0.366  0.107  0.410
O  0.657  0.681  0.677
O  0.866  0.893  0.090
O  0.892  0.160  0.000
O  0.392  0.840  0.500
O  0.570  0.212  0.781
O  0.763  0.283  0.857
O  0.430  0.788  0.219
O  0.152  0.488  0.617
O  0.426  0.342  0.926
O  0.139  0.507  0.909
O  0.574  0.658  0.074
O  0.348  0.488  0.117
O  0.639  0.493  0.591
O  0.843  0.681  0.177
O  0.963  0.074  0.632
O  0.652  0.512  0.883
O  0.237  0.717  0.143
O  0.537  0.074  0.132
O  0.414  0.025  0.674
O  0.837  0.846  0.303
O  0.375  0.610  0.896
O  0.337  0.154  0.197
O  0.038  0.634  0.076
H  0.972  0.150  0.235
H  0.104  0.666  0.328
H  0.521  0.705  0.127
H  0.289  0.574  0.887
H  0.839  0.661  0.603
H  0.211  0.574  0.387
H  0.396  0.666  0.828
H  0.665  0.927  0.326
H  0.898  0.990  0.535
H  0.303  0.565  0.133
H  0.697  0.435  0.867
H  0.331  0.425  0.183
H  0.028  0.850  0.765
H  0.789  0.426  0.613
H  0.896  0.334  0.672
H  0.602  0.990  0.035
H  0.221  0.102  0.945
H  0.183  0.839  0.949
H  0.398  0.010  0.965
H  0.831  0.575  0.317
H  0.661  0.661  0.103
H  0.161  0.339  0.397
H  0.979  0.705  0.627
H  0.279  0.102  0.445
H  0.594  0.444  0.532
H  0.817  0.161  0.051
H  0.197  0.565  0.633
H  0.479  0.295  0.873
H  0.094  0.556  0.968
H  0.835  0.927  0.826
H  0.102  0.010  0.465
H  0.472  0.850  0.265
H  0.604  0.334  0.172
H  0.779  0.898  0.055
H  0.906  0.444  0.032
H  0.335  0.073  0.674
H  0.803  0.435  0.367
H  0.165  0.073  0.174
H  0.528  0.150  0.735
H  0.683  0.161  0.551
H  0.339  0.339  0.897
H  0.021  0.295  0.373
H  0.721  0.898  0.555
H  0.317  0.839  0.449
H  0.169  0.425  0.683
H  0.711  0.426  0.113
H  0.406  0.556  0.468
H  0.669  0.575  0.817
B  0.899  0.089  0.744
B  0.112  0.193  0.807
B  0.592  0.902  0.883
B  0.408  0.098  0.117
B  0.092  0.098  0.617
B  0.399  0.911  0.756
B  0.084  0.396  0.887
B  0.101  0.911  0.256
B  0.612  0.807  0.693
B  0.584  0.604  0.613
B  0.916  0.604  0.113
B  0.416  0.396  0.387
B  0.393  0.747  0.601
B  0.299  0.797  0.212
B  0.893  0.253  0.899
B  0.107  0.747  0.101
B  0.201  0.797  0.712
B  0.908  0.902  0.383
B  0.799  0.203  0.288
B  0.388  0.193  0.307
B  0.701  0.203  0.788
B  0.607  0.253  0.399
B  0.601  0.089  0.244
B  0.888  0.807  0.193
Mg  0.500  0.500  0.000
Mg  0.000  0.000  0.000
Mg  0.500  0.000  0.500
Mg  0.000  0.500  0.500

The crystal system is monoclinic. The value obtained for the density of states at the Fermi level is 0.000 states/eV/atom. The volume is 9.2 A^3/atom.

---

The following is a DFT calculation (PBE) of crystalline Mg3BH3O6 at its relaxed geometry.

Lattice parameters (Å, degrees): 9.102 9.102 3.199 90.00 90.00 120.00
Sites, in units of the cell vectors:
H  0.998  0.169  0.250
H  0.831  0.829  0.250
H  0.002  0.831  0.750
H  0.829  0.998  0.750
H  0.169  0.171  0.750
H  0.171  0.002  0.250
Mg  0.967  0.624  0.250
Mg  0.376  0.343  0.250
Mg  0.033  0.376  0.750
Mg  0.657  0.033  0.250
Mg  0.343  0.967  0.750
Mg  0.624  0.657  0.750
O  0.206  0.291  0.750
O  0.602  0.157  0.750
O  0.843  0.444  0.750
O  0.398  0.843  0.250
O  0.444  0.602  0.250
O  0.709  0.915  0.750
O  0.157  0.556  0.250
O  0.794  0.709  0.250
O  0.085  0.794  0.750
O  0.556  0.398  0.750
O  0.915  0.206  0.250
O  0.291  0.085  0.250
B  0.667  0.333  0.750
B  0.333  0.667  0.250

The crystal system is hexagonal. The value obtained for the density of states at the Fermi level is 0.000 states/eV/atom. The volume is 8.8 A^3/atom.

---

The following is a DFT calculation (PBE) of crystalline MgB2P2H8O13 at its relaxed geometry.

Lattice parameters (Å, degrees): 7.811 8.327 14.862 90.00 90.00 90.70
Sites, in units of the cell vectors:
P  0.435  0.926  0.288
P  0.565  0.074  0.712
P  0.063  0.779  0.661
P  0.565  0.574  0.788
P  0.937  0.721  0.161
P  0.937  0.221  0.339
P  0.435  0.426  0.212
P  0.063  0.279  0.839
O  0.957  0.194  0.439
O  0.932  0.172  0.640
O  0.258  0.560  0.014
O  0.742  0.440  0.986
O  0.550  0.679  0.872
O  0.068  0.328  0.140
O  0.257  0.009  0.283
O  0.066  0.352  0.307
O  0.550  0.179  0.628
O  0.457  0.333  0.302
O  0.243  0.712  0.685
O  0.068  0.828  0.360
O  0.258  0.060  0.486
O  0.247  0.855  0.891
O  0.768  0.951  0.958
O  0.044  0.936  0.717
O  0.431  0.797  0.568
O  0.044  0.436  0.783
O  0.232  0.049  0.042
O  0.570  0.064  0.287
O  0.450  0.821  0.372
O  0.956  0.064  0.283
O  0.757  0.788  0.185
O  0.247  0.355  0.609
O  0.232  0.549  0.458
O  0.957  0.694  0.061
O  0.757  0.288  0.315
O  0.066  0.852  0.193
O  0.768  0.451  0.542
O  0.257  0.509  0.217
O  0.743  0.991  0.717
O  0.430  0.436  0.787
O  0.743  0.491  0.783
O  0.450  0.321  0.128
O  0.932  0.672  0.860
O  0.934  0.148  0.807
O  0.243  0.212  0.815
O  0.431  0.297  0.932
O  0.569  0.203  0.432
O  0.934  0.648  0.693
O  0.569  0.703  0.068
O  0.543  0.667  0.698
O  0.753  0.645  0.391
O  0.043  0.806  0.561
O  0.543  0.167  0.802
O  0.430  0.936  0.713
O  0.753  0.145  0.109
O  0.043  0.306  0.939
O  0.956  0.564  0.217
O  0.457  0.833  0.198
O  0.570  0.564  0.213
O  0.742  0.940  0.514
B  0.586  0.221  0.336
B  0.086  0.934  0.283
B  0.414  0.779  0.664
B  0.914  0.066  0.717
B  0.414  0.279  0.836
B  0.586  0.721  0.164
B  0.086  0.434  0.217
B  0.914  0.566  0.783
H  0.725  0.424  0.050
H  0.639  0.194  0.117
H  0.147  0.114  0.471
H  0.043  0.230  0.634
H  0.957  0.770  0.366
H  0.454  0.162  0.450
H  0.853  0.386  0.971
H  0.957  0.270  0.134
H  0.853  0.886  0.529
H  0.762  0.071  0.161
H  0.361  0.306  0.617
H  0.725  0.924  0.450
H  0.275  0.076  0.550
H  0.043  0.730  0.866
H  0.191  0.485  0.407
H  0.639  0.694  0.383
H  0.238  0.429  0.661
H  0.761  0.524  0.489
H  0.762  0.571  0.339
H  0.275  0.576  0.950
H  0.809  0.015  0.907
H  0.546  0.338  0.950
H  0.147  0.614  0.029
H  0.239  0.476  0.511
H  0.191  0.985  0.093
H  0.761  0.024  0.011
H  0.238  0.929  0.839
H  0.809  0.515  0.593
H  0.546  0.838  0.550
H  0.361  0.806  0.883
H  0.454  0.662  0.050
H  0.239  0.976  0.989
Mg  0.753  0.704  0.964
Mg  0.753  0.204  0.536
Mg  0.247  0.296  0.036
Mg  0.247  0.796  0.464

The crystal system is monoclinic. The value obtained for the density of states at the Fermi level is 0.000 states/eV/atom. The volume is 9.3 A^3/atom.

---

The following is a DFT calculation (PBE) of crystalline Mg3B2P2H18O20 at its relaxed geometry.

Lattice parameters (Å, degrees): 6.361 6.381 9.851 83.77 84.68 73.04
Sites, in units of the cell vectors:
O  0.605  0.007  0.695
O  0.645  0.287  0.369
O  0.983  0.416  0.288
O  0.611  0.604  0.878
O  0.820  0.226  0.129
O  0.213  0.224  0.916
O  0.017  0.584  0.712
O  0.776  0.160  0.857
O  0.355  0.713  0.631
O  0.993  0.991  0.661
O  0.180  0.774  0.871
O  0.240  0.261  0.547
O  0.224  0.840  0.143
O  0.787  0.776  0.084
O  0.007  0.009  0.339
O  0.389  0.396  0.122
O  0.721  0.339  0.630
O  0.279  0.661  0.370
O  0.760  0.739  0.453
O  0.395  0.993  0.305
H  0.679  0.661  0.947
H  0.851  0.842  0.428
H  0.487  0.096  0.636
H  0.707  0.316  0.874
H  0.293  0.684  0.126
H  0.656  0.858  0.138
H  0.149  0.158  0.572
H  0.137  0.349  0.852
H  0.837  0.611  0.398
H  0.163  0.389  0.602
H  0.321  0.339  0.053
H  0.863  0.651  0.148
H  0.446  0.667  0.891
H  0.554  0.333  0.109
H  0.513  0.904  0.364
H  0.312  0.677  0.465
H  0.344  0.142  0.862
H  0.688  0.323  0.535
B  0.768  0.128  0.712
B  0.232  0.872  0.288
P  0.140  0.760  0.721
P  0.860  0.240  0.279
Mg  0.317  0.334  0.335
Mg  0.000  0.000  0.000
Mg  0.683  0.666  0.665

The crystal system is triclinic. The value obtained for the density of states at the Fermi level is 0.000 states/eV/atom. The volume is 8.4 A^3/atom.

---

Going through the records in order, we get spin magnetization values of 0.0, 0.0, 0.0, 0.0 μB/f.u..
Going through the records in order, we get uncorrected energy values of -6.37, -6.06, -6.29, -5.86 eV per atom.